## TlCoF3 (PBE with a Hubbard U)

Data for TlCoF3 after structural relaxation.

## Properties
Space-group type   P2_1/m (11)
Final energy   -45.72 eV/cell

The structure in POSCAR format:
```
TlCoF3
1.0
4.0443 0.0000 0.0000
0.0000 4.3422 0.0000
-1.5599 0.0000 9.1723
Tl Co F
2 2 6
Cartesian
0.0707 1.0855 3.1062
2.4137 3.2566 6.0661
0.4428 1.0855 8.0380
2.0416 3.2566 1.1343
0.0154 3.2566 1.2385
0.4592 1.0855 6.0342
0.4609 3.2566 8.2624
2.0235 1.0855 0.9099
2.0252 3.2566 3.1381
2.4690 1.0855 7.9338
```